[1]
ZnSi2Ni: relaxed, PBE.

Unit cell a=2.685 b=2.685 c=7.350 alpha=90.00 beta=90.00 gamma=89.98
Fractional positions:
Ni 0.500 0.500 0.770
Si 0.000 0.000 0.968
Si 0.500 0.500 0.237
Zn 0.000 0.000 0.525

Results
Uncorrected formation energy = 0.0247 eV/atom
Size of the total moment = 0.000 μB per formula unit
SG = No. 99

[2]
MgSc2Ta: relaxed, PBE.

Unit cell a=3.037 b=3.037 c=9.554 alpha=90.00 beta=90.00 gamma=95.15
Fractional positions:
Sc 0.000 0.000 0.022
Sc 0.000 0.000 0.478
Mg 0.500 0.500 0.750
Ta 0.500 0.500 0.250

Results
Formation energy = 0.04 eV per atom
Size of the total moment = 0.000 μB per formula unit
SG = No. 65

[3]
TlSnAu2: relaxed, PBE.

Unit cell a=3.998 b=3.998 c=7.578 alpha=74.70 beta=74.70 gamma=60.00
Fractional positions:
Tl 0.498 0.498 0.506
Sn 0.668 0.668 0.996
Au 0.078 0.078 0.765
Au 0.256 0.256 0.233

Results
Formation energy = -0.04 eV per atom
Size of the total moment = 0.000 μB per formula unit
SG = No. 160